[1]
Compound: RbNbIr2
Source: Alexandria
Functional: GGA-PBE
Structure: optimized geometry

Unit cell a=7.583 b=7.583 c=7.114 alpha=90.00 beta=90.00 gamma=90.00
Space group I-42d (No. 122)
Symmetry-distinct sites (fractional):
Rb  0.000  0.000  0.000 x4
Nb  0.000  0.000  0.500 x4
Ir  0.172  0.250  0.625 x8

Values from the calculation:
total magnetization	0.00	μB/f.u.
energy above the most stable polymorph in this dataset	0.0000	eV/atom
mass density	9.139	g/cm3

=====

[2]
Compound: La3Nd3Sm2
Source: Alexandria
Functional: GGA-PBE
Structure: optimized geometry

Unit cell a=5.215 b=5.226 c=20.871 alpha=90.00 beta=90.00 gamma=90.00
Space group Immm (No. 71)
Symmetry-distinct sites (fractional):
La  0.000  0.000  0.000 x2
La  0.000  0.500  0.125 x4
Nd  0.000  0.000  0.500 x2
Nd  0.000  0.500  0.373 x4
Sm  0.000  0.000  0.249 x4

Values from the calculation:
total magnetization	0.00	μB/f.u.
energy above the most stable polymorph in this dataset	0.0000	eV/atom
mass density	6.715	g/cm3

=====

[3]
Compound: Rb2YRu
Source: Alexandria
Functional: GGA-PBE
Structure: optimized geometry

Unit cell a=8.027 b=8.027 c=8.027 alpha=90.00 beta=90.00 gamma=90.00
Space group Fm-3m (No. 225)
Symmetry-distinct sites (fractional):
Rb  0.250  0.250  0.250 x8
Y  0.000  0.000  0.000 x4
Ru  0.000  0.000  0.500 x4

Values from the calculation:
total magnetization	0.00	μB/f.u.
energy above the most stable polymorph in this dataset	0.7387	eV/atom
mass density	4.635	g/cm3

=====

Number 1: ΔE_f 0.837 eV/atom. Number 2: ΔE_f 0.015 eV/atom. Number 3: ΔE_f 1.535 eV/atom.